(1)
DFT (GGA-PBE) results for an optimized crystal structure of Ca2Hg2AsPd4.

Geometry as POSCAR:
```
Ca2Hg2AsPd4
1.0
6.606 -0.274 -0.395
-3.411 5.664 0.395
-3.411 -1.620 5.442
Ca Hg As Pd
2 2 1 4
Cartesian
-4.881 2.893 4.176
-1.941 1.151 1.661
-0.108 3.706 1.459
-0.108 0.064 3.982
0.000 0.000 0.000
-3.411 3.664 1.781
-1.971 2.810 4.056
-3.411 0.380 4.056
1.754 0.960 1.385
```

Values from the calculation:
DOS at the Fermi energy = 6.23 states/eV/f.u.
SG = I4/mmm
ΔE_f = -330.3 meV/atom

(2)
DFT (GGA-PBE) results for an optimized crystal structure of CaPmHgAs.

Geometry as POSCAR:
```
CaPmHgAs
1.0
-2.003 2.619 4.092
-2.501 -2.605 3.817
2.205 -0.460 4.748
As Ca Hg Pm
1 1 1 1
Cartesian
0.000 0.000 0.000
-1.725 -0.334 9.493
-1.150 -0.223 6.328
-0.575 -0.111 3.164
```

Values from the calculation:
DOS at the Fermi energy = 3.93 states/eV/f.u.
SG = F-43m
ΔE_f = -686.1 meV/atom

(3)
DFT (GGA-PBE) results for an optimized crystal structure of Ca2HgAsPt.

Geometry as POSCAR:
```
Ca2HgAsPt
1.0
-5.524 -0.910 -0.325
0.700 -4.553 0.850
-0.481 0.954 5.505
As Ca Hg Pt
1 2 1 1
Cartesian
0.350 -2.276 0.425
-0.240 0.477 2.753
-2.762 -0.455 -0.162
-2.653 -2.254 3.015
0.000 0.000 0.000
```

Values from the calculation:
DOS at the Fermi energy = 3.16 states/eV/f.u.
SG = P4/mmm
Energy above the lowest structure with this stoichiometry = 0.00 eV/f.u.
ΔE_f = -561.4 meV/atom